# PBE MgZn2Br, relaxed
# Energy above the most stable polymorph in this dataset = 0.476 eV/atom
# E_tot = -1.2533 eV per atom
# Space group = Fm-3m
data_MgZn2Br
_cell_length_a 5.178
_cell_length_b 5.178
_cell_length_c 5.178
_cell_angle_alpha 60.00
_cell_angle_beta 60.00
_cell_angle_gamma 60.00
_space_group_name_H-M_alt 'P 1'
_space_group_IT_number 1
_space_group_name_Hall 'P 1'
loop_
_atom_site_label
_atom_site_fract_x
_atom_site_fract_y
_atom_site_fract_z
_atom_site_occupancy
Mg1 0.000 0.000 0.000 1
Zn1 0.250 0.250 0.250 1
Br1 0.500 0.500 0.500 1
Zn2 0.750 0.750 0.750 1